# 1
CuRh4Se: optimized geometry, GGA-PBE.

The structure in extended XYZ format:
```
6
Lattice="0.0000 3.6341 3.6341 3.6341 0.0000 3.6341 3.6341 3.6341 0.0000" Properties=species:S:1:pos:R:3 pbc="T T T"
Cu 0.0000 0.0000 0.0000
Rh 2.7244 4.5437 4.5437
Rh 4.5437 4.5437 2.7244
Rh 4.5437 2.7244 4.5437
Rh 2.7244 2.7244 2.7244
Se 5.4511 5.4511 5.4511
```

The calculation puts the total energy at -33.974 eV per cell. As for the formation energy without anion corrections: 0.502 eV per atom.

# 2
Ce4SmTh3S8: optimized geometry, GGA-PBE.

The structure in extended XYZ format:
```
16
Lattice="8.0610 0.0000 0.0000 0.0000 8.0528 -0.0110 -4.0305 -4.0265 5.7026" Properties=species:S:1:pos:R:3 pbc="T T T"
Ce 4.0305 0.0000 0.0000
Ce 2.0152 -2.0133 2.8513
Ce 0.0000 0.0000 0.0000
Ce -2.0152 -2.0133 2.8513
Sm 0.0000 4.0264 -0.0055
Th 4.0305 4.0264 -0.0055
Th 2.0152 2.0131 2.8458
Th -2.0152 2.0131 2.8458
S 1.9999 6.0370 0.0007
S 0.0000 4.0390 2.8303
S 0.0000 -0.0149 2.8381
S 6.0611 6.0370 0.0007
S -2.0306 -2.0107 5.6909
S 4.0305 4.0411 2.8535
S 4.0305 -0.0128 2.8613
S 2.0306 -2.0107 5.6909
```

The calculation puts the total energy at -115.289 eV per cell. As for the formation energy without anion corrections: -1.972 eV per atom.

# 3
La2CeTh3Se6: optimized geometry, GGA-PBE.

The structure in extended XYZ format:
```
12
Lattice="-3.7304 1.5232 1.3281 -4.0100 -5.0042 -5.5238 2.4759 -5.9391 6.9896" Properties=species:S:1:pos:R:3 pbc="T T T"
La -4.1317 -6.0424 2.1016
La -1.1328 -3.3777 0.6923
Ce -1.8652 0.7616 0.6641
Th -3.8702 -1.7405 -2.0979
Th -2.1163 -3.4990 4.8453
Th -3.1482 -5.9211 -2.0514
Se -3.2754 -8.0610 0.0455
Se -4.0176 -3.8991 -0.0362
Se -1.9891 -1.3592 2.7484
Se -2.2500 -5.6338 6.9184
Se -3.0145 -3.7863 -4.1245
Se -1.2469 -5.5210 2.8300
```

The calculation puts the total energy at -79.793 eV per cell. As for the formation energy without anion corrections: -1.736 eV per atom.

Q: What is the formation energy without anion corrections in the second record?
A: -1.972 eV per atom

Q: Which value of formation energy without anion corrections does entry 1 give?
A: 0.502 eV per atom